A geometry-optimized Ba2YFe3O8 structure, computed with GGA+U.

Calculated values
**Electronic total energy**: -6.99 eV per atom
**ρ**: 5.75 g/cm3

abc: 3.9687 3.9687 12.0939
angles: 90.00 90.00 90.00
Closest atoms and distances in Å follow each position.
Space group P4/mmm (No. 123)
Symmetry-distinct sites (fractional):
Ba (0.0000, 0.0000, 0.1626) x2  8 O 2.79-2.82
Y (0.0000, 0.0000, 0.5000) x1  8 O 2.43
Fe (0.5000, 0.5000, 0.0000) x1  4 O 1.98
Fe (0.5000, 0.5000, 0.3400) x2  5 O 1.87-2.05
O (0.0000, 0.5000, 0.0000) x2  2 Fe 1.98
O (0.0000, 0.5000, 0.3840) x4  2 Fe 2.05
O (0.5000, 0.5000, 0.1851) x2  1 Fe 1.87